Below is an optimized crystal structure of Cs4NiO2, with properties calculated at the GGA+U level.

Structure (extended XYZ):
```
14
Lattice="5.473 0.000 0.000 0.000 5.473 0.000 0.000 0.000 14.350" Properties=species:S:1:pos:R:3 pbc="T T T"
Cs 0.000 0.000 2.890
Cs 0.000 0.000 11.460
Cs 0.000 2.737 0.000
Cs 0.000 2.737 7.175
Cs 2.737 0.000 0.000
Cs 2.737 0.000 7.175
Cs 2.737 2.737 4.285
Cs 2.737 2.737 10.065
Ni 0.000 0.000 0.000
Ni 2.737 2.737 7.175
O 0.000 0.000 5.273
O 0.000 0.000 9.077
O 2.737 2.737 1.902
O 2.737 2.737 12.449
```

Space group: No. 139
DFT total energy: -32.05 eV/cell
Fermi-level density of states: 1.9 states/eV per cell
Volume: 30.704 A^3/atom